Compound: CrTe2Br
Source: the Alexandria database
Functional: PBE-GGA
Structure: optimized geometry

Properties
The magnetization comes out at 0.706 μB/atom.

```
data_CrTe2Br
_space_group_name_H-M_alt 'R 3 m'
_space_group_IT_number 160
_space_group_name_Hall 'R 3 -2"'
_cell_length_a 3.5541
_cell_length_b 3.5541
_cell_length_c 33.5681
_cell_angle_alpha 90.00
_cell_angle_beta 90.00
_cell_angle_gamma 120.00
loop_
_atom_site_label
_atom_site_fract_x
_atom_site_fract_y
_atom_site_fract_z
Cr1 0.0000 0.0000 0.0000
Te1 0.0000 0.0000 0.2829
Te2 0.0000 0.0000 0.5038
Br1 0.0000 0.0000 0.7147
```

***

Compound: CrTe2Br
Source: the Alexandria database
Functional: PBE-GGA
Structure: optimized geometry

Properties
The magnetization comes out at 0.799 μB/atom.

```
data_CrTe2Br
_space_group_name_H-M_alt 'P 4/m m m'
_space_group_IT_number 123
_space_group_name_Hall '-P 4 2'
_cell_length_a 3.606
_cell_length_b 3.606
_cell_length_c 7.742
_cell_angle_alpha 90.00
_cell_angle_beta 90.00
_cell_angle_gamma 90.00
loop_
_atom_site_label
_atom_site_fract_x
_atom_site_fract_y
_atom_site_fract_z
Cr1 0.000 0.000 0.000
Te1 0.500 0.500 0.188
Br1 0.000 0.000 0.500
```

***

Compound: CrTe2Br
Source: the Alexandria database
Functional: PBE-GGA
Structure: optimized geometry

Properties
The magnetization comes out at 0.967 μB/atom.

```
data_CrTe2Br
_space_group_name_H-M_alt 'I -4 m 2'
_space_group_IT_number 119
_space_group_name_Hall 'I -4 -2'
_cell_length_a 5.245
_cell_length_b 5.245
_cell_length_c 7.405
_cell_angle_alpha 90.00
_cell_angle_beta 90.00
_cell_angle_gamma 90.00
loop_
_atom_site_label
_atom_site_fract_x
_atom_site_fract_y
_atom_site_fract_z
Cr1 0.000 0.000 0.000
Te1 0.000 0.000 0.500
Te2 0.000 0.500 0.750
Br1 0.000 0.500 0.250
```

***

Calculated volume readings, ordered: 367, 101, 204 Å³ per cell
Raw formation energy readings, ordered: -0.12, 0.03, 0.46 eV/atom